Density functional theory data (PBE) for a geometry-optimized Na2AuC structure.

Values from the calculation:
energy: -27.3 eV per cell

```
8
Lattice="-5.224 8.050 -3.906 -8.571 -3.205 4.860 -6.412 3.497 2.043" Properties=species:S:1:pos:R:3 pbc="T T T"
C -6.898 2.422 0.477
Na -4.640 3.503 -0.351
Na -12.114 3.643 3.099
Na -8.912 1.880 2.089
Au 0.000 0.000 0.000
Na -14.748 7.660 1.158
Au -9.267 6.985 -0.693
C -10.940 1.358 3.690
```